Record 1
The following is a PBE calculation of an optimized crystal structure of Zn2H6Rh, from Alexandria via LeMat-Bulk.

Structure (POSCAR):
```
Zn2H6Rh
1.0
-2.157 2.239 -3.977
-3.483 -3.140 0.121
-3.997 4.573 3.601
H Zn Rh
12 4 2
Direct
0.262 0.784 0.529
0.738 0.216 0.471
0.227 0.704 0.981
0.273 0.204 0.519
0.569 0.492 0.228
0.762 0.716 0.029
0.069 0.008 0.728
0.431 0.508 0.772
0.931 0.992 0.272
0.238 0.284 0.971
0.773 0.296 0.019
0.727 0.796 0.481
0.776 0.000 0.879
0.224 0.000 0.121
0.724 0.500 0.621
0.276 0.500 0.379
0.000 0.000 0.500
0.500 0.500 0.000
```

**Energy**: -3.287 eV/atom
**Space-group type**: P2_1/c
**Crystal system**: monoclinic
**N(E_F)**: 2.80 states/eV per cell



Record 2
The following is a PBE calculation of an optimized crystal structure of LaErCoRh, from Alexandria via LeMat-Bulk.

Structure (POSCAR):
```
LaErCoRh
1.0
-0.811 3.122 3.684
-0.608 -1.693 4.555
3.466 0.756 3.376
Er Co Rh La
1 1 1 1
Direct
0.000 0.000 0.000
0.750 0.750 0.750
0.250 0.250 0.250
0.500 0.500 0.500
```

**Space-group type**: F-43m
**Crystal system**: cubic
**Energy of formation from the pure elements**: -0.39 eV per atom
**N(E_F)**: 2.27 states/eV per cell



Record 3
The following is a PBE calculation of an optimized crystal structure of Na8Zn2Pb, from Alexandria via LeMat-Bulk.

Structure (POSCAR):
```
Na8Zn2Pb
1.0
-4.698 2.697 1.209
-0.423 2.256 -6.748
-1.831 -9.279 0.784
Na Zn Pb
8 2 1
Direct
0.967 0.010 0.568
0.328 0.860 0.296
0.944 0.472 0.522
0.739 0.960 0.118
0.533 0.752 0.699
0.305 0.351 0.251
0.639 0.241 0.910
0.139 0.507 0.909
0.475 0.277 0.582
0.795 0.605 0.238
0.137 0.966 0.909
```

**Space-group type**: P1
**Crystal system**: triclinic
**Energy of formation from the pure elements**: 0.01 eV per atom
**N(E_F)**: 5.21 states/eV per cell



Record 4
The following is a PBE calculation of an optimized crystal structure of Ga5Sn, from Alexandria via LeMat-Bulk.

Structure (POSCAR):
```
Ga5Sn
1.0
-2.117 -2.701 1.033
4.258 -5.113 1.574
2.327 -1.845 6.159
Ga Sn
5 1
Direct
0.500 0.500 0.500
0.838 0.429 0.896
0.838 0.896 0.429
0.162 0.571 0.104
0.162 0.104 0.571
0.500 0.000 0.000
```

**Energy relative to the lowest polymorph listed for this composition**: 28 meV per atom
**Space-group type**: Immm
**Crystal system**: orthorhombic
**Energy of formation from the pure elements**: 0.05 eV per atom
**N(E_F)**: 2.07 states/eV per cell



Record 5
The following is a PBE calculation of an optimized crystal structure of NiAg2Os, from Alexandria via LeMat-Bulk.

Structure (POSCAR):
```
NiAg2Os
1.0
4.987 0.015 0.005
4.267 2.582 0.005
0.760 0.213 4.725
Ag Os Ni
2 1 1
Direct
0.497 0.497 0.503
0.003 0.003 0.997
0.250 0.250 0.250
0.750 0.750 0.750
```

**Energy relative to the lowest polymorph listed for this composition**: 239 meV per atom
**Space-group type**: C2/m
**Crystal system**: monoclinic
**Energy of formation from the pure elements**: 0.55 eV per atom
**N(E_F)**: 3.60 states/eV per cell



Record 6
The following is a PBE calculation of an optimized crystal structure of KLi2Ca2, from Alexandria via LeMat-Bulk.

Structure (POSCAR):
```
KLi2Ca2
1.0
3.914 0.000 0.000
0.000 3.914 0.000
1.957 1.957 12.557
Li Ca K
2 2 1
Direct
0.750 0.250 0.500
0.250 0.750 0.500
0.638 0.638 0.724
0.362 0.362 0.276
0.000 0.000 0.000
```

**Energy relative to the lowest polymorph listed for this composition**: 40 meV per atom
**Space-group type**: I4/mmm
**Crystal system**: tetragonal
**Energy of formation from the pure elements**: 0.15 eV per atom
**N(E_F)**: 3.77 states/eV per cell